! CaGaAu3 | the Alexandria database | PBE | optimized geometry; values from VASP
! - Size of the total moment: 0.000 μB per atom
! - Energy of formation: 347 meV per atom
! - Energy above the lowest structure with this stoichiometry: 0.925 eV/atom
&SYSTEM
  ibrav = 0, nat = 5, ntyp = 3
/
ATOMIC_SPECIES
Ca 40.08 Ca.upf
Ga 69.72 Ga.upf
Au 196.97 Au.upf
CELL_PARAMETERS angstrom
5.5384 0.0000 0.0000
0.0000 5.5384 0.0000
0.0000 0.0000 5.5384
ATOMIC_POSITIONS angstrom
Ca 0.0000 0.0000 0.0000
Ga 2.7692 2.7692 2.7692
Au 0.0000 0.0000 2.7692
Au 0.0000 2.7692 0.0000
Au 2.7692 0.0000 0.0000